Entry 1:
Compound: Rb2CoPdCl6
Source: Alexandria via LeMat-Bulk
Functional: PBE
Structure: optimized geometry

The structure belongs to space group I4/mmm (No. 139); the cell edges are 7.228, 7.228 and 9.094 Å and the angles 90.00°, 90.00° and 90.00°. The inequivalent atoms are Rb at (0.000, 0.500, 0.250), Co at (0.000, 0.000, 0.000), Pd at (0.000, 0.000, 0.500), Cl at (0.000, 0.000, 0.241) and Cl at (0.244, 0.244, 0.000).



Entry 2:
Compound: RbCo2PdCl8
Source: Alexandria via LeMat-Bulk
Functional: PBE
Structure: optimized geometry

The structure belongs to space group R-3 (No. 148, hexagonal axes); the cell edges are 6.2763, 6.2763 and 28.7825 Å and the angles 90.00°, 90.00° and 120.00°. The inequivalent atoms are Rb at (0.0000, 0.0000, 0.0000), Co at (0.0000, 0.0000, 0.2406), Pd at (0.0000, 0.0000, 0.5000), Cl at (0.0000, 0.0000, 0.3165) and Cl at (0.0056, 0.6838, 0.4489).



Entry 3:
Compound: RbCoPdCl6
Source: Alexandria via LeMat-Bulk
Functional: PBE
Structure: optimized geometry

The structure belongs to space group P1 (No. 1); the cell edges are 6.338, 6.343 and 7.349 Å and the angles 91.64°, 91.74° and 116.51°. The inequivalent atoms are Rb at (0.000, 0.000, 0.000), Co at (0.329, 0.675, 0.500), Pd at (0.673, 0.328, 0.500), Cl at (0.003, 0.359, 0.678), Cl at (0.034, 0.627, 0.299), Cl at (0.372, 0.967, 0.702), Cl at (0.386, 0.368, 0.315), Cl at (0.632, 0.615, 0.684) and Cl at (0.643, 0.998, 0.323).



Entry 4:
Compound: Rb2CoPdCl6
Source: Alexandria via LeMat-Bulk
Functional: PBE
Structure: optimized geometry

The structure belongs to space group R-3m (No. 166, hexagonal axes); the cell edges are 6.9896, 6.9896 and 35.6812 Å and the angles 90.00°, 90.00° and 120.00°. The inequivalent atoms are Rb at (0.0000, 0.0000, 0.1177), Rb at (0.0000, 0.0000, 0.2960), Co at (0.0000, 0.0000, 0.4126), Pd at (0.0000, 0.0000, 0.0000), Pd at (0.0000, 0.0000, 0.5000), Cl at (0.0161, 0.5081, 0.2907) and Cl at (0.0254, 0.5127, 0.1189).



Entry 5:
Compound: Sm6Co2PdCl3
Source: Alexandria via LeMat-Bulk
Functional: PBE
Structure: optimized geometry

The structure belongs to space group C2/m (No. 12); the cell edges are 18.898, 3.974 and 8.756 Å and the angles 90.00°, 110.13° and 90.00°. The inequivalent atoms are Sm at (0.020, 0.000, 0.243), Sm at (0.163, 0.500, 0.124), Sm at (0.180, 0.500, 0.560), Co at (0.168, 0.000, 0.337), Pd at (0.000, 0.500, 0.000), Cl at (0.000, 0.500, 0.500) and Cl at (0.169, 0.000, 0.836).



Entry 6:
Compound: Sr2CoPdCl
Source: Alexandria via LeMat-Bulk
Functional: PBE
Structure: optimized geometry

The structure belongs to space group P4/mmm (No. 123); the cell edges are 5.880, 5.880 and 4.616 Å and the angles 90.00°, 90.00° and 90.00°. The inequivalent atoms are Sr at (0.000, 0.500, 0.000), Co at (0.000, 0.000, 0.500), Pd at (0.000, 0.000, 0.000) and Cl at (0.500, 0.500, 0.500).



Entry 7:
Compound: Ti2CoPdCl
Source: Alexandria via LeMat-Bulk
Functional: PBE
Structure: optimized geometry

The structure belongs to space group P4/mmm (No. 123); the cell edges are 4.597, 4.597 and 4.153 Å and the angles 90.00°, 90.00° and 90.00°. The inequivalent atoms are Ti at (0.000, 0.500, 0.000), Co at (0.000, 0.000, 0.000), Pd at (0.500, 0.500, 0.500) and Cl at (0.000, 0.000, 0.500).



Entry 8:
Compound: TlCoPdCl6
Source: Alexandria via LeMat-Bulk
Functional: PBE
Structure: optimized geometry

The structure belongs to space group P312 (No. 149); the cell edges are 6.3250, 6.3250 and 7.0066 Å and the angles 90.00°, 90.00° and 120.00°. The inequivalent atoms are Tl at (0.0000, 0.0000, 0.0000), Co at (0.3333, 0.6667, 0.5000), Pd at (0.6667, 0.3333, 0.5000) and Cl at (0.0314, 0.3831, 0.3134).



no.,formation energy from raw total energies (eV/atom)
1,-1.02
2,-0.76
3,-0.80
4,-1.05
5,-0.93
6,-0.37
7,0.41
8,-0.57